1.
Below is a geometry-optimized RbCuTe2WSe structure, with properties calculated at the PBE level.

Unit cell a=8.399 b=8.399 c=10.142 alpha=90.00 beta=90.00 gamma=152.11
Positions (direct):
Rb 0.244 0.756 0.750
Rb 0.756 0.244 0.250
Cu 0.026 0.974 0.250
Cu 0.974 0.026 0.750
Te 0.116 0.884 0.043
Te 0.116 0.884 0.457
Te 0.884 0.116 0.543
Te 0.884 0.116 0.957
W 0.500 0.500 0.000
W 0.500 0.500 0.500
Se 0.442 0.558 0.250
Se 0.558 0.442 0.750

Summary:
As for the space group: Cmcm (63). Its calculated total energy is -4.757 eV per atom.

---

2.
Below is a geometry-optimized La2SiPt6 structure, with properties calculated at the PBE level.

Unit cell a=5.772 b=5.772 c=5.946 alpha=90.00 beta=90.00 gamma=120.00
Positions (direct):
La 0.333 0.667 0.328
La 0.667 0.333 0.672
Si 0.000 0.000 0.500
Pt 0.170 0.340 0.801
Pt 0.170 0.830 0.801
Pt 0.340 0.170 0.199
Pt 0.660 0.830 0.801
Pt 0.830 0.170 0.199
Pt 0.830 0.660 0.199

Summary:
As for the space group: P-3m1 (164). Its calculated total energy is -6.752 eV per atom.

---

3.
Below is a geometry-optimized Pm2AlZn7 structure, with properties calculated at the PBE level.

Unit cell a=4.197 b=4.197 c=10.676 alpha=90.00 beta=90.00 gamma=90.00
Positions (direct):
Pm 0.000 0.500 0.249
Pm 0.500 0.000 0.751
Al 0.000 0.000 0.500
Zn 0.000 0.000 0.000
Zn 0.000 0.500 0.637
Zn 0.000 0.500 0.866
Zn 0.500 0.000 0.134
Zn 0.500 0.000 0.363
Zn 0.500 0.500 0.000
Zn 0.500 0.500 0.500

Summary:
As for the space group: P-4m2 (115). Its calculated total energy is -2.563 eV per atom.